[1]
Density functional theory data (GGA-PBE) for an optimized crystal structure of ZrSc3.

Lattice parameters (Å, degrees): 3.276 7.710 7.667 84.03 90.00 90.00
Sites, in units of the cell vectors:
Sc (0.250, 0.827, 0.582)
Sc (0.750, 0.664, 0.918)
Zr (0.250, 0.414, 0.663)
Sc (0.750, 0.173, 0.418)
Sc (0.250, 0.336, 0.082)
Zr (0.750, 0.586, 0.337)
Sc (0.750, 0.086, 0.831)
Sc (0.250, 0.914, 0.169)

## Properties
The calculation puts the calculated formation energy at -0.0094 eV per atom. As for the total energy: -0.507 Ry per atom. The value obtained for the total magnetic moment is 0.01 μB per formula unit. Its crystal system is monoclinic.

=====

[2]
Density functional theory data (GGA-PBE) for an optimized crystal structure of Zr4Sc3.

Lattice parameters (Å, degrees): 11.788 11.788 11.788 161.56 161.56 26.19
Sites, in units of the cell vectors:
Zr (0.862, 0.862, 0.000)
Sc (0.289, 0.289, 0.000)
Zr (0.138, 0.138, 0.000)
Sc (0.711, 0.711, 0.000)
Sc (0.000, 0.000, 0.000)
Zr (0.575, 0.575, 0.000)
Zr (0.425, 0.425, 0.000)

## Properties
The calculation puts the calculated formation energy at 0.0775 eV per atom. As for the total energy: -0.553 Ry per atom. The value obtained for the total magnetic moment is 0.00 μB per formula unit. Its crystal system is tetragonal.

=====

> Number 2 is which compound?

Zr4Sc3

=====

> The highest total magnetic moment belongs to which entry?

ZrSc3

=====

Copy entry 2 word for word.
Density functional theory data (GGA-PBE) for an optimized crystal structure of Zr4Sc3.

Lattice parameters (Å, degrees): 11.788 11.788 11.788 161.56 161.56 26.19
Sites, in units of the cell vectors:
Zr (0.862, 0.862, 0.000)
Sc (0.289, 0.289, 0.000)
Zr (0.138, 0.138, 0.000)
Sc (0.711, 0.711, 0.000)
Sc (0.000, 0.000, 0.000)
Zr (0.575, 0.575, 0.000)
Zr (0.425, 0.425, 0.000)

## Properties
The calculation puts the calculated formation energy at 0.0775 eV per atom. As for the total energy: -0.553 Ry per atom. The value obtained for the total magnetic moment is 0.00 μB per formula unit. Its crystal system is tetragonal.

=====

> The lowest calculated formation energy belongs to which entry?

ZrSc3